Here is an optimized crystal structure of Ba2NiMo from the Alexandria database. Energies are from GGA-PBE.

Cell and atoms, written as CIF:
```
data_Ba2NiMo
_chemical_formula_sum 'Ba4 Ni2 Mo2'
_cell_length_a 4.163
_cell_length_b 5.069
_cell_length_c 11.861
_cell_angle_alpha 90.00
_cell_angle_beta 90.00
_cell_angle_gamma 90.00
_symmetry_space_group_name_H-M 'A m m 2'
_symmetry_Int_Tables_number 38
_symmetry_space_group_name_Hall 'A 2 -2'
loop_
_atom_site_label
_atom_site_type_symbol
_atom_site_fract_x
_atom_site_fract_y
_atom_site_fract_z
Ba1 Ba 0.000 0.000 0.000
Ba2 Ba 0.500 0.000 0.290
Ni1 Ni 0.500 0.000 0.598
Mo1 Mo 0.000 0.000 0.687
```

Calculated values
As for the raw total energy: -4.53 eV/atom. The calculation puts the density of states at the Fermi level at 9.62 states/eV/cell. The relative energy among the computed polymorphs is 0.0 meV/atom. The energy of formation is 0.59 eV/atom.

=====

Here is an optimized crystal structure of BaNiMo from the Alexandria database. Energies are from GGA-PBE.

Cell and atoms, written as CIF:
```
data_BaNiMo
_chemical_formula_sum 'Ba4 Ni4 Mo4'
_cell_length_a 11.276
_cell_length_b 4.213
_cell_length_c 7.880
_cell_angle_alpha 90.00
_cell_angle_beta 125.21
_cell_angle_gamma 90.00
_symmetry_space_group_name_H-M 'C 1 m 1'
_symmetry_Int_Tables_number 8
_symmetry_space_group_name_Hall 'C -2y'
loop_
_atom_site_label
_atom_site_type_symbol
_atom_site_fract_x
_atom_site_fract_y
_atom_site_fract_z
Ba1 Ba 0.000 0.000 0.000
Ba2 Ba 0.138 0.000 0.691
Ni1 Ni 0.178 0.500 0.404
Ni2 Ni 0.293 0.500 0.218
Mo1 Mo 0.322 0.000 0.472
Mo2 Mo 0.410 0.000 0.275
```

Calculated values
As for the raw total energy: -5.72 eV/atom. The calculation puts the density of states at the Fermi level at 11.49 states/eV/cell. The relative energy among the computed polymorphs is 152.8 meV/atom. The energy of formation is 0.46 eV/atom.

=====

Q: Which value of energy of formation does entry 1 give?
A: 0.59 eV/atom